Record 1
This record from Alexandria describes a relaxed structure of Er5AgTe2. The functional is PBE-GGA.

Cell: 7.0269 7.0269 12.6707 Å, 90.00 90.00 130.58°
With the nearest neighbours (Å) after each atom.
Fractional positions:
Er  0.0493  0.9507  0.6133  1 Ag 2.97, 2 Te 3.11-3.14, 1 Er 3.14
Er  0.0493  0.9507  0.8867  1 Ag 2.97, 2 Te 3.11-3.14, 1 Er 3.14
Er  0.3761  0.6239  0.2500  2 Te 3.11, 2 Ag 3.28
Er  0.3888  0.6112  0.5688  1 Ag 3.00, 3 Te 3.13-3.19, 1 Er 3.33
Er  0.3888  0.6112  0.9312  1 Ag 3.00, 3 Te 3.13-3.19, 1 Er 3.33
Er  0.6112  0.3888  0.0688  1 Ag 3.00, 3 Te 3.13-3.19, 1 Er 3.33
Er  0.6112  0.3888  0.4312  1 Ag 3.00, 3 Te 3.13-3.19, 1 Er 3.33
Er  0.6239  0.3761  0.7500  2 Te 3.11, 2 Ag 3.28
Er  0.9507  0.0493  0.1133  1 Ag 2.97, 2 Te 3.11-3.14, 1 Er 3.14
Er  0.9507  0.0493  0.3867  1 Ag 2.97, 2 Te 3.11-3.14, 1 Er 3.14
Ag  0.2382  0.7618  0.7500  6 Er 2.97-3.28
Ag  0.7618  0.2382  0.2500  6 Er 2.97-3.28
Te  0.1928  0.8072  0.0880  6 Er 3.11-3.19
Te  0.1928  0.8072  0.4120  6 Er 3.11-3.19
Te  0.8072  0.1928  0.5880  6 Er 3.11-3.19
Te  0.8072  0.1928  0.9120  6 Er 3.11-3.19

Calculated values
Raw formation energy in meV per atom: -471.6



Record 2
This record from Alexandria describes a relaxed structure of BaDy2Co. The functional is PBE-GGA.

Cell: 10.7300 10.7300 10.7300 Å, 20.80 20.80 20.80°
With the nearest neighbours (Å) after each atom.
Fractional positions:
Ba  0.0000  0.0000  0.0000  2 Dy 3.82, 6 Ba 3.87
Dy  0.1213  0.1213  0.1213  3 Co 2.65
Dy  0.8787  0.8787  0.8787  3 Co 2.65
Co  0.5000  0.5000  0.5000  6 Dy 2.65

Calculated values
Calculated formation energy in eV/atom: 0.0820



Record 3
This record from Alexandria describes a relaxed structure of Te2POs. The functional is PBE-GGA.

Cell: 2.8263 3.9019 8.1093 Å, 90.00 90.00 90.00°
With the nearest neighbours (Å) after each atom.
Fractional positions:
Te  0.0000  0.0000  0.2311  2 Os 2.71, 2 Te 2.83, 2 P 2.93
Te  0.0000  0.0000  0.7689  2 Os 2.71, 2 Te 2.83, 2 P 2.93
P  0.0000  0.5000  0.5000  2 P 2.83, 4 Te 2.93
Os  0.0000  0.5000  0.0000  4 Te 2.71, 2 Os 2.83

Calculated values
Raw formation energy in meV per atom: 730.9
Energy above the lowest structure with this stoichiometry in eV per atom: 0.6340



Record 4
This record from Alexandria describes a relaxed structure of VBRh2. The functional is PBE-GGA.

Cell: 5.9544 5.9544 5.9544 Å, 128.56 128.56 75.72°
With the nearest neighbours (Å) after each atom.
Fractional positions:
V  0.0000  0.0000  0.0000  4 Rh 2.36
V  0.7500  0.2500  0.5000  4 Rh 2.36
B  0.2500  0.7500  0.5000  4 Rh 2.01
B  0.5000  0.5000  0.0000  4 Rh 2.01
Rh  0.1834  0.6250  0.0584  2 B 2.01
Rh  0.3750  0.4334  0.5584  2 B 2.01
Rh  0.5666  0.1250  0.9416  2 B 2.01
Rh  0.8750  0.8166  0.4416  2 B 2.01

Calculated values
Calculated formation energy in eV/atom: 0.2455
Energy above the lowest structure with this stoichiometry in eV per atom: 0.2187



Record 5
This record from Alexandria describes a relaxed structure of Al2AgCl. The functional is PBE-GGA.

Cell: 5.2978 5.2978 2.9553 Å, 104.61 104.61 84.64°
With the nearest neighbours (Å) after each atom.
Fractional positions:
Al  0.0000  0.5000  0.0000  2 Cl 2.69, 2 Ag 2.69, 2 Al 2.96
Al  0.5000  0.0000  0.0000  2 Cl 2.69, 2 Ag 2.69, 2 Al 2.96
Ag  0.0000  0.0000  0.5000  4 Al 2.69, 2 Ag 2.96
Cl  0.5000  0.5000  0.5000  4 Al 2.69, 2 Cl 2.96

Calculated values
Raw formation energy in meV per atom: -53.9
Energy above the lowest structure with this stoichiometry in eV per atom: 0.1768



Record 6
This record from Alexandria describes a relaxed structure of SrPr2Lu. The functional is PBE-GGA.

Cell: 5.3216 5.3216 5.2228 Å, 90.00 90.00 90.00°
With the nearest neighbours (Å) after each atom.
Fractional positions:
Sr  0.0000  0.0000  0.0000  8 Pr 3.73, 4 Lu 3.76
Pr  0.0000  0.5000  0.5000  4 Sr 3.73, 4 Lu 3.73, 4 Pr 3.76
Pr  0.5000  0.0000  0.5000  4 Sr 3.73, 4 Lu 3.73, 4 Pr 3.76
Lu  0.5000  0.5000  0.0000  8 Pr 3.73, 4 Sr 3.76

Calculated values
Calculated formation energy in eV/atom: 0.1695
Energy above the lowest structure with this stoichiometry in eV per atom: 0.0783



Record 7
This record from Alexandria describes a relaxed structure of CaTl3Cd3. The functional is PBE-GGA.

Cell: 9.9045 9.9045 9.9045 Å, 41.89 41.89 41.89°
With the nearest neighbours (Å) after each atom.
Fractional positions:
Ca  0.2000  0.2000  0.2000  6 Tl 3.34-3.35, 3 Cd 3.36
Ca  0.8000  0.8000  0.8000  6 Tl 3.34-3.35, 3 Cd 3.36
Tl  0.2416  0.3220  0.7544  2 Cd 3.04-3.34, 2 Ca 3.34-3.35, 2 Tl 3.38
Tl  0.2456  0.7584  0.6780  2 Cd 3.04-3.34, 2 Ca 3.34-3.35, 2 Tl 3.38
Tl  0.3220  0.7544  0.2416  2 Cd 3.04-3.34, 2 Ca 3.34-3.35, 2 Tl 3.38
Tl  0.6780  0.2456  0.7584  2 Cd 3.04-3.34, 2 Ca 3.34-3.35, 2 Tl 3.38
Tl  0.7544  0.2416  0.3220  2 Cd 3.04-3.34, 2 Ca 3.34-3.35, 2 Tl 3.38
Tl  0.7584  0.6780  0.2456  2 Cd 3.04-3.34, 2 Ca 3.34-3.35, 2 Tl 3.38
Cd  0.0905  0.2554  0.5734  5 Cd 2.91-3.04, 1 Tl 3.04
Cd  0.2554  0.5734  0.0905  5 Cd 2.91-3.04, 1 Tl 3.04
Cd  0.4266  0.9095  0.7446  5 Cd 2.91-3.04, 1 Tl 3.04
Cd  0.5734  0.0905  0.2554  5 Cd 2.91-3.04, 1 Tl 3.04
Cd  0.7446  0.4266  0.9095  5 Cd 2.91-3.04, 1 Tl 3.04
Cd  0.9095  0.7446  0.4266  5 Cd 2.91-3.04, 1 Tl 3.04

Calculated values
Calculated formation energy in eV/atom: -0.0819
Energy above the lowest structure with this stoichiometry in eV per atom: 0.0000



Record 8
This record from Alexandria describes a relaxed structure of AlSb. The functional is PBE-GGA.

Cell: 5.7659 5.7659 6.0711 Å, 116.22 116.22 31.21°
With the nearest neighbours (Å) after each atom.
Fractional positions:
Al  0.1939  0.1939  0.2865  4 Al 2.78-3.10, 3 Sb 2.89-3.08
Al  0.8061  0.8061  0.7135  4 Al 2.78-3.10, 3 Sb 2.89-3.08
Sb  0.4309  0.4309  0.2057  5 Al 2.89-3.14, 3 Sb 3.10-3.18
Sb  0.5691  0.5691  0.7943  5 Al 2.89-3.14, 3 Sb 3.10-3.18

Calculated values
Raw formation energy in meV per atom: 165.9



no.,spin magnetization (μB per formula unit)
1,0.00
2,0.00
3,0.00
4,0.00
5,0.00
6,0.00
7,0.00
8,0.00